# 1
# ZnCo2Pt GGA-PBE optimized geometry
# - energy of formation from the pure elements (eV per atom) = -0.009
# - space-group type = No. 166
# - magnetic moment (Bohr magnetons per cell) = 3.54
data_ZnCo2Pt
_chemical_formula_sum 'Zn1 Co2 Pt1'
_space_group_name_H-M_alt 'P 1'
_space_group_IT_number 1
_cell_length_a 8.6488
_cell_length_b 8.6488
_cell_length_c 8.6488
_cell_angle_alpha 17.73
_cell_angle_beta 17.73
_cell_angle_gamma 17.73
loop_
_space_group_symop_operation_xyz
'x,y,z'
loop_
_atom_site_label
_atom_site_fract_x
_atom_site_fract_y
_atom_site_fract_z
Zn1 0.0000 0.0000 0.0000
Co1 0.2516 0.2516 0.2516
Co2 0.7484 0.7484 0.7484
Pt1 0.5000 0.5000 0.5000


# 2
# Mg14MnW GGA-PBE optimized geometry
# - energy of formation from the pure elements (eV per atom) = 0.188
# - space-group type = No. 187
# - magnetic moment (Bohr magnetons per cell) = 3.00
# - energy above the lowest structure with this stoichiometry (eV per formula unit) = 0.224
data_Mg14MnW
_chemical_formula_sum 'Mg14 Mn1 W1'
_space_group_name_H-M_alt 'P 1'
_space_group_IT_number 1
_cell_length_a 6.2272
_cell_length_b 6.2272
_cell_length_c 9.9529
_cell_angle_alpha 90.00
_cell_angle_beta 90.00
_cell_angle_gamma 120.00
loop_
_space_group_symop_operation_xyz
'x,y,z'
loop_
_atom_site_label
_atom_site_fract_x
_atom_site_fract_y
_atom_site_fract_z
Mg1 0.0000 0.0000 0.2486
Mg2 0.0000 0.0000 0.7514
Mg3 0.0157 0.5079 0.2544
Mg4 0.0157 0.5079 0.7456
Mg5 0.3342 0.1671 0.5000
Mg6 0.3357 0.1679 0.0000
Mg7 0.4921 0.5079 0.2544
Mg8 0.4921 0.5079 0.7456
Mg9 0.4921 0.9843 0.2544
Mg10 0.4921 0.9843 0.7456
Mg11 0.8321 0.1679 0.0000
Mg12 0.8321 0.6643 0.0000
Mg13 0.8329 0.1671 0.5000
Mg14 0.8329 0.6658 0.5000
Mn1 0.3333 0.6667 0.0000
W1 0.3333 0.6667 0.5000


# 3
# MnBe2Au GGA-PBE optimized geometry
# - energy of formation from the pure elements (eV per atom) = -0.068
# - space-group type = No. 123
# - magnetic moment (Bohr magnetons per cell) = 2.09
data_MnBe2Au
_chemical_formula_sum 'Mn1 Be2 Au1'
_space_group_name_H-M_alt 'P 1'
_space_group_IT_number 1
_cell_length_a 2.8111
_cell_length_b 2.8111
_cell_length_c 5.7554
_cell_angle_alpha 90.00
_cell_angle_beta 90.00
_cell_angle_gamma 90.00
loop_
_space_group_symop_operation_xyz
'x,y,z'
loop_
_atom_site_label
_atom_site_fract_x
_atom_site_fract_y
_atom_site_fract_z
Mn1 0.0000 0.0000 0.0000
Be1 0.5000 0.5000 0.2203
Be2 0.5000 0.5000 0.7797
Au1 0.0000 0.0000 0.5000


# 4
# GdZnCuAu GGA-PBE optimized geometry
# - energy of formation from the pure elements (eV per atom) = -0.371
# - space-group type = No. 216
# - magnetic moment (Bohr magnetons per cell) = 7.36
data_GdZnCuAu
_chemical_formula_sum 'Gd1 Zn1 Cu1 Au1'
_space_group_name_H-M_alt 'P 1'
_space_group_IT_number 1
_cell_length_a 4.7668
_cell_length_b 4.7668
_cell_length_c 4.7668
_cell_angle_alpha 60.00
_cell_angle_beta 60.00
_cell_angle_gamma 60.00
loop_
_space_group_symop_operation_xyz
'x,y,z'
loop_
_atom_site_label
_atom_site_fract_x
_atom_site_fract_y
_atom_site_fract_z
Gd1 0.0000 0.0000 0.0000
Zn1 0.5000 0.5000 0.5000
Cu1 0.2500 0.2500 0.2500
Au1 0.7500 0.7500 0.7500


> The highest magnetic moment belongs to which entry?

GdZnCuAu


> Look up the magnetic moment of the third one.

2.09 Bohr magnetons per cell


> What is the energy of formation from the pure elements in the fourth record?

-0.371 eV per atom


> energy of formation from the pure elements of number 3 (MnBe2Au)?

-0.068 eV per atom